Entry from Alexandria: BaLiMn2 at its PBEsol-relaxed geometry (SCAN).

Values from the calculation:
formation energy from the elements	0.413	eV per atom

a b c (Å): 5.0271 5.0271 5.0271
angles (deg): 60.00 60.00 60.00
Sites, in units of the cell vectors:
Ba: 0.0000 0.0000 0.0000
Li: 0.7500 0.7500 0.7500
Mn: 0.2500 0.2500 0.2500
Mn: 0.5000 0.5000 0.5000



Entry from Alexandria: BaLiMn2 at its PBEsol-relaxed geometry (SCAN).

Values from the calculation:
formation energy from the elements	0.881	eV per atom

a b c (Å): 4.7238 4.7238 5.9556
angles (deg): 106.52 106.52 41.77
Sites, in units of the cell vectors:
Ba: 0.0000 0.0000 0.0000
Li: 0.5000 0.5000 0.5000
Mn: 0.2218 0.2218 0.5765
Mn: 0.7782 0.7782 0.4235



Number 1: spin magnetization 8.07 μB per formula unit, N(E_F) 3.6 states/eV/f.u., energy above the most stable polymorph in this dataset 37 meV per atom. Number 2: spin magnetization 0.01 μB per formula unit, N(E_F) 3.9 states/eV/f.u., energy above the most stable polymorph in this dataset 505 meV per atom.